# 1
Here is a PBEsol-optimized structure of Sr2Cd from the Alexandria database. Energies are from SCAN.

Output
The value obtained for the formation energy is -0.255 eV/atom. For the total DFT energy (no corrections), the calculation gives -151.46 eV per cell. Its size of the total moment is 0.13 Bohr magnetons per cell.

Cell lengths 4.305, 7.424, 8.305 Å; angles 73.96, 74.98, 73.15 degrees
Positions (direct):
Sr: 0.668 0.738 0.927
Sr: 0.910 0.800 0.380
Sr: 0.090 0.200 0.620
Sr: 0.332 0.262 0.073
Cd: 0.382 0.563 0.673
Cd: 0.618 0.437 0.327


# 2
Here is a PBEsol-optimized structure of Sr2Cd from the Alexandria database. Energies are from SCAN.

Output
The value obtained for the formation energy is -0.226 eV/atom. For the total DFT energy (no corrections), the calculation gives -605.15 eV per cell. Its size of the total moment is 4.29 Bohr magnetons per cell.

Cell lengths 10.847, 10.847, 10.847 Å; angles 60.00, 60.00, 60.00 degrees
Each line ends with the local moment (μB).
Positions (direct):
Cd: 0.331 0.331 0.331  0.01
Cd: 0.007 0.331 0.331  0.01
Cd: 0.331 0.007 0.331  0.01
Cd: 0.331 0.331 0.007  0.01
Cd: 0.919 0.919 0.919  0.01
Cd: 0.243 0.919 0.919  0.01
Cd: 0.919 0.243 0.919  0.01
Cd: 0.919 0.919 0.243  0.01
Sr: 0.125 0.125 0.625  0.02
Sr: 0.125 0.625 0.125  0.02
Sr: 0.625 0.125 0.125  0.02
Sr: 0.125 0.125 0.125  0.02
Sr: 0.940 0.560 0.560  0.05
Sr: 0.560 0.940 0.560  0.05
Sr: 0.560 0.560 0.940  0.05
Sr: 0.940 0.940 0.560  0.05
Sr: 0.940 0.560 0.940  0.05
Sr: 0.560 0.940 0.940  0.05
Sr: 0.310 0.690 0.690  0.05
Sr: 0.690 0.310 0.690  0.05
Sr: 0.690 0.690 0.310  0.05
Sr: 0.310 0.310 0.690  0.05
Sr: 0.310 0.690 0.310  0.05
Sr: 0.690 0.310 0.310  0.05


# 3
Here is a PBEsol-optimized structure of Sr2Cd from the Alexandria database. Energies are from SCAN.

Output
The value obtained for the formation energy is -0.237 eV/atom. For the total DFT energy (no corrections), the calculation gives -151.35 eV per cell. Its size of the total moment is 0.02 Bohr magnetons per cell.

Cell lengths 4.195, 7.652, 7.804 Å; angles 90.00, 90.00, 105.91 degrees
Positions (direct):
Sr: 0.025 0.049 0.712
Sr: 0.975 0.951 0.212
Sr: 0.288 0.575 0.531
Sr: 0.712 0.425 0.031
Cd: 0.384 0.768 0.925
Cd: 0.616 0.232 0.425


# 4
Here is a PBEsol-optimized structure of Sr3Cd from the Alexandria database. Energies are from SCAN.

Output
The value obtained for the formation energy is -0.203 eV/atom. For the total DFT energy (no corrections), the calculation gives -98.05 eV per cell. As for the energy above the lowest structure with this stoichiometry: 0 meV/atom. Its size of the total moment is 0.23 Bohr magnetons per cell.

Cell lengths 4.042, 4.042, 10.143 Å; angles 90.00, 90.00, 90.00 degrees
Positions (direct):
Sr: 0.500 0.500 0.811
Sr: 0.000 0.000 0.500
Sr: 0.500 0.500 0.189
Cd: 0.000 0.000 0.000


# 5
Here is a PBEsol-optimized structure of Sr2Cd from the Alexandria database. Energies are from SCAN.

Output
The value obtained for the formation energy is -0.229 eV/atom. For the total DFT energy (no corrections), the calculation gives -151.30 eV per cell. Its size of the total moment is 0.08 Bohr magnetons per cell.

Cell lengths 3.942, 3.942, 15.415 Å; angles 97.35, 97.35, 90.00 degrees
Positions (direct):
Sr: 0.064 0.064 0.129
Sr: 0.186 0.686 0.371
Sr: 0.936 0.936 0.871
Sr: 0.314 0.814 0.629
Cd: 0.500 0.500 0.000
Cd: 0.750 0.250 0.500


# 6
Here is a PBEsol-optimized structure of SrCd5 from the Alexandria database. Energies are from SCAN.

Output
The value obtained for the formation energy is -0.229 eV/atom. For the total DFT energy (no corrections), the calculation gives -175.72 eV per cell. Its size of the total moment is 0.00 Bohr magnetons per cell.

Cell lengths 4.878, 4.952, 6.979 Å; angles 86.70, 90.00, 119.51 degrees
Positions (direct):
Sr: 0.500 0.000 0.500
Cd: 0.819 0.639 0.777
Cd: 0.500 0.000 0.000
Cd: 0.181 0.361 0.223
Cd: 0.150 0.299 0.777
Cd: 0.850 0.701 0.223


# 7
Here is a PBEsol-optimized structure of Sr3Cd from the Alexandria database. Energies are from SCAN.

Output
The value obtained for the formation energy is 0.035 eV/atom. For the total DFT energy (no corrections), the calculation gives -97.10 eV per cell. As for the energy above the lowest structure with this stoichiometry: 238 meV/atom. Its size of the total moment is 0.00 Bohr magnetons per cell.

Cell lengths 3.920, 7.052, 7.052 Å; angles 116.65, 100.68, 100.68 degrees
Positions (direct):
Cd: 0.000 0.000 0.000
Sr: 0.500 0.500 0.000
Sr: 0.000 0.500 0.500
Sr: 0.500 0.000 0.500


# 8
Here is a PBEsol-optimized structure of Sr5Cd from the Alexandria database. Energies are from SCAN.

Output
The value obtained for the formation energy is -0.032 eV/atom. For the total DFT energy (no corrections), the calculation gives -141.99 eV per cell. Its size of the total moment is 0.49 Bohr magnetons per cell.

Cell lengths 4.569, 6.226, 9.483 Å; angles 90.00, 103.94, 90.00 degrees
Positions (direct):
Sr: 0.332 0.500 0.665
Sr: 0.145 0.000 0.291
Sr: 0.000 0.500 0.000
Sr: 0.855 0.000 0.709
Sr: 0.668 0.500 0.335
Cd: 0.500 0.000 0.000


# 9
Here is a PBEsol-optimized structure of SrCdTc2 from the Alexandria database. Energies are from SCAN.

Output
The value obtained for the formation energy is 0.728 eV/atom. For the total DFT energy (no corrections), the calculation gives -119.90 eV per cell. Its size of the total moment is 0.95 Bohr magnetons per cell.

Cell lengths 3.585, 3.585, 6.743 Å; angles 90.00, 90.00, 90.00 degrees
Each line ends with the local moment (μB).
Positions (direct):
Cd: 0.500 0.500 0.000  0.00
Sr: 0.500 0.500 0.500  0.01
Tc: 0.000 0.000 0.836  0.41
Tc: 0.000 0.000 0.164  0.41


# 10
Here is a PBEsol-optimized structure of SrCdTc2 from the Alexandria database. Energies are from SCAN.

Output
The value obtained for the formation energy is 0.227 eV/atom. For the total DFT energy (no corrections), the calculation gives -121.90 eV per cell. Its size of the total moment is 0.00 Bohr magnetons per cell.

Cell lengths 4.251, 4.251, 6.440 Å; angles 70.73, 70.73, 60.00 degrees
Positions (direct):
Cd: 0.534 0.534 0.398
Sr: 0.741 0.741 0.777
Tc: 0.946 0.946 0.161
Tc: 0.272 0.272 0.184


# 11
Here is a PBEsol-optimized structure of SrCdTc2 from the Alexandria database. Energies are from SCAN.

Output
The value obtained for the formation energy is 0.238 eV/atom. For the total DFT energy (no corrections), the calculation gives -121.86 eV per cell. Its size of the total moment is 0.00 Bohr magnetons per cell.

Cell lengths 3.120, 3.120, 8.142 Å; angles 90.00, 90.00, 90.00 degrees
Positions (direct):
Cd: 0.500 0.500 0.450
Sr: 0.000 0.000 0.773
Tc: 0.500 0.500 0.064
Tc: 0.000 0.000 0.214


# 12
Here is a PBEsol-optimized structure of SrTi3Cd from the Alexandria database. Energies are from SCAN.

Output
The value obtained for the formation energy is 0.942 eV/atom. For the total DFT energy (no corrections), the calculation gives -96.07 eV per cell. Its size of the total moment is 5.79 Bohr magnetons per cell.

Cell lengths 5.130, 5.130, 5.130 Å; angles 90.00, 90.00, 90.00 degrees
Each line ends with the local moment (μB).
Positions (direct):
Sr: 0.500 0.500 0.500  0.12
Ti: 0.000 0.500 0.000  1.32
Ti: 0.000 0.000 0.500  1.32
Ti: 0.500 0.000 0.000  1.32
Cd: 0.000 0.000 0.000  0.07


> Which of these has the lowest formation energy?

number 1


> What is the formation energy in the ninth record?

0.728 eV/atom


> Which value of total DFT energy (no corrections) does entry 8 give?

-141.99 eV per cell


> The highest size of the total moment belongs to which entry?

SrTi3Cd